a) Rb3B2S4, optimized geometry, DFT GGA-PBE; density = 2.72 g cm⁻³; crystal system = monoclinic; Fermi-level density of states = 0.2402 states/eV per atom
1.0
-1.9854 2.8560 -0.4460
0.9810 -2.4523 -6.2842
-8.8459 -5.5638 3.7493
Rb S B
3 4 2
direct
0.0000 0.0000 0.0000
0.6443 0.2885 0.6317
0.3557 0.7115 0.3683
0.6916 0.3832 0.1672
0.0791 0.1582 0.3455
0.3084 0.6168 0.8328
0.9209 0.8418 0.6545
0.3808 0.7616 0.7194
0.6192 0.2384 0.2806


b) Rb3B2S4, optimized geometry, DFT GGA-PBE; density = 2.37 g cm⁻³; crystal system = monoclinic; Fermi-level density of states = 0.1473 states/eV per atom
1.0
-3.9595 0.4911 -9.0785
5.8604 -2.6470 -4.4735
-1.9059 -7.4776 -1.3476
B Rb S
4 6 8
direct
0.0048 0.4044 0.1521
0.5048 0.1521 0.4044
0.9952 0.5956 0.8479
0.4952 0.8479 0.5956
0.1556 0.9800 0.7035
0.2500 0.5334 0.4666
0.8444 0.0200 0.2965
0.6556 0.7035 0.9800
0.7500 0.4666 0.5334
0.3444 0.2965 0.0200
0.9364 0.7352 0.6513
0.0073 0.3477 0.9310
0.5073 0.9310 0.3477
0.5636 0.3487 0.2648
0.0636 0.2648 0.3487
0.4927 0.0690 0.6523
0.9927 0.6523 0.0690
0.4364 0.6513 0.7352


Energy above the most stable structure, in meV/atom: a) 195; b) 0